(1)
TlReBi2W | GGA-PBEsol | relaxed

Results
V: 147.8 Å³/cell
DFT formation energy: 1.9166 eV per atom
total magnetization: 4.3 μB per formula unit
E_tot: -5.7516 eV per atom

Cell lengths 5.274, 5.274, 5.315 Å; angles 90.00, 90.00, 90.00 degrees
Space group P4/mmm (No. 123)
Symmetry-distinct sites (fractional):
Tl (0.000, 0.000, 0.000) [1 per cell]
Re (0.500, 0.500, 0.000) [1 per cell]
Bi (0.000, 0.500, 0.500) [2 per cell]
W (0.000, 0.000, 0.500) [1 per cell]

(2)
ScTaIr2 | GGA-PBEsol | relaxed

Results
V: 64.3 Å³/cell
DFT formation energy: -0.6969 eV per atom
total magnetization: 0.0 μB per formula unit
E_tot: -10.3976 eV per atom

Cell lengths 4.677, 4.677, 2.940 Å; angles 90.00, 90.00, 90.00 degrees
Space group P4/mmm (No. 123)
Symmetry-distinct sites (fractional):
Sc (0.000, 0.000, 0.000) [1 per cell]
Ta (0.500, 0.500, 0.000) [1 per cell]
Ir (0.000, 0.500, 0.500) [2 per cell]